Record 1
## LaTb3Hg6 (PBE)

Data for LaTb3Hg6 after structural relaxation.

Cell: 5.2319 9.3029 11.3501 Å, 107.48 90.00 90.00°
Atoms (fractional coordinates):
Hg1 0.7500 0.3602 0.2873
Hg2 0.2500 0.4636 0.0943
Hg3 0.2500 0.0626 0.9124
La1 0.2500 0.9317 0.6182
Hg4 0.7500 0.9374 0.0876
Hg5 0.2500 0.1435 0.2073
Hg6 0.2500 0.8211 0.3088
Hg7 0.7500 0.5364 0.9057
Hg8 0.2500 0.6398 0.7127
Hg9 0.7500 0.1789 0.6912
Hg10 0.2500 0.2575 0.5241
Tb1 0.2500 0.5075 0.3864
Hg11 0.7500 0.7425 0.4759
Tb2 0.7500 0.6476 0.1929
Tb3 0.7500 0.2295 0.0019
Tb4 0.7500 0.4925 0.6136
Tb5 0.2500 0.7705 0.9981
Hg12 0.7500 0.8565 0.7927
La2 0.7500 0.0683 0.3818
Tb6 0.2500 0.3524 0.8071

D(E_F) = 0.757 states/eV per atom
magnetic moment = 0.000 Bohr magnetons per cell
raw total energy = -2.507 eV per atom
space group = No. 11
calculated volume = 26.35 A^3/atom
calculated formation energy = -10.3 kcal/mol of atoms

Record 2
## BaCdBr2 (PBE)

Data for BaCdBr2 after structural relaxation.

Cell: 4.9700 4.7756 6.4876 Å, 68.34 90.00 90.00°
Atoms (fractional coordinates):
Br1 0.5000 0.2526 0.3708
Ba1 0.5000 0.5358 0.8062
Cd1 0.0000 0.7306 0.4098
Br2 0.0000 0.9810 0.9131

magnetic moment = 0.000 Bohr magnetons per cell
raw total energy = -2.895 eV per atom
space group = No. 6
calculated volume = 35.78 A^3/atom
relative energy among the computed polymorphs = 86 meV/atom

Record 3
## HfZnGaNi (PBE)

Data for HfZnGaNi after structural relaxation.

Cell: 4.4021 4.4021 4.4021 Å, 60.00 60.00 60.00°
Atoms (fractional coordinates):
Zn1 0.7500 0.7500 0.7500
Hf1 0.5000 0.5000 0.5000
Ga1 0.0000 0.0000 0.0000
Ni1 0.2500 0.2500 0.2500

D(E_F) = 0.523 states/eV per atom
magnetic moment = 0.000 Bohr magnetons per cell
raw total energy = -5.327 eV per atom
space group = No. 216
calculated volume = 15.08 A^3/atom
calculated formation energy = -7.3 kcal/mol of atoms
relative energy among the computed polymorphs = 0 meV/atom

Record 4
## Ca2ZnBiO6 (PBE)

Data for Ca2ZnBiO6 after structural relaxation.

Cell: 5.5586 5.6798 8.4326 Å, 90.00 93.70 90.00°
Atoms (fractional coordinates):
O1 0.7876 0.7949 0.5748
Zn1 0.0000 0.5000 0.0000
O2 0.2124 0.2051 0.4252
O3 0.1200 0.4537 0.7410
O4 0.2876 0.7051 0.0748
Bi1 0.0000 0.5000 0.5000
O5 0.3053 0.7132 0.4429
O6 0.8800 0.5463 0.2590
O7 0.3800 0.9537 0.7590
Ca1 0.5288 0.5581 0.7388
O8 0.7124 0.2949 0.9252
O9 0.8053 0.7868 0.9429
Ca2 0.9712 0.0581 0.7612
Bi2 0.5000 0.0000 0.0000
O10 0.6200 0.0463 0.2410
Ca3 0.4712 0.4419 0.2612
O11 0.1947 0.2132 0.0571
Zn2 0.5000 0.0000 0.5000
Ca4 0.0288 0.9419 0.2388
O12 0.6947 0.2868 0.5571

D(E_F) = 0.556 states/eV per atom
magnetic moment = 1.924 Bohr magnetons per cell
raw total energy = -5.606 eV per atom
space group = No. 14
calculated volume = 13.28 A^3/atom

Record 5
## RbPSe2 (PBE)

Data for RbPSe2 after structural relaxation.

Cell: 7.0960 6.7314 7.4375 Å, 92.54 60.29 81.44°
Atoms (fractional coordinates):
Se1 0.2661 0.7037 0.2021
P1 0.2949 0.3707 0.0866
Se2 0.0715 0.2163 0.3338
Se3 0.3586 0.6426 0.6477
Rb1 0.5414 0.1319 0.4135
Se4 0.6323 0.2065 0.8763
Rb2 0.8114 0.6569 0.7178
P2 0.1348 0.6097 0.9753

D(E_F) = 0.000 states/eV per atom
magnetic moment = 0.000 Bohr magnetons per cell
raw total energy = -3.907 eV per atom
space group = No. 1
calculated volume = 37.78 A^3/atom

Record 6
## Dy2ZnGa2Rh5 (PBE)

Data for Dy2ZnGa2Rh5 after structural relaxation.

Cell: 3.5027 9.7919 9.7919 Å, 90.00 90.00 90.00°
Atoms (fractional coordinates):
Dy1 0.0000 0.3268 0.8268
Rh1 0.5000 0.7987 0.9338
Ga1 0.0000 0.1264 0.6264
Dy2 0.0000 0.1732 0.3268
Rh2 0.5000 0.7013 0.4338
Zn1 0.0000 0.0000 0.0000
Dy3 0.0000 0.6732 0.1732
Ga2 0.0000 0.3736 0.1264
Rh3 0.5000 0.5000 0.0000
Dy4 0.0000 0.8268 0.6732
Ga3 0.0000 0.8736 0.3736
Rh4 0.5000 0.0000 0.5000
Rh5 0.5000 0.9338 0.2013
Zn2 0.0000 0.5000 0.5000
Rh6 0.5000 0.2013 0.0662
Rh7 0.5000 0.0662 0.7987
Rh8 0.5000 0.4338 0.2987
Rh9 0.5000 0.2987 0.5662
Ga4 0.0000 0.6264 0.8736
Rh10 0.5000 0.5662 0.7013

D(E_F) = 0.478 states/eV per atom
magnetic moment = 0.000 Bohr magnetons per cell
raw total energy = -6.058 eV per atom
space group = No. 127
calculated volume = 16.79 A^3/atom
calculated formation energy = -16.8 kcal/mol of atoms

Record 7
## CsKNaBi (PBE)

Data for CsKNaBi after structural relaxation.

Cell: 6.0811 6.0811 6.0811 Å, 60.00 60.00 60.00°
Atoms (fractional coordinates):
K1 0.5000 0.5000 0.5000
Bi1 0.7500 0.7500 0.7500
Na1 0.0000 0.0000 0.0000
Cs1 0.2500 0.2500 0.2500

D(E_F) = 0.123 states/eV per atom
magnetic moment = 0.000 Bohr magnetons per cell
raw total energy = -2.130 eV per atom
space group = No. 216
calculated volume = 39.75 A^3/atom
calculated formation energy = -7.9 kcal/mol of atoms

Record 8
## K2UCoSe5 (PBE)

Data for K2UCoSe5 after structural relaxation.

Cell: 4.1020 9.9616 13.7966 Å, 89.88 90.00 101.88°
Atoms (fractional coordinates):
Se1 0.6855 0.3710 0.1547
Se2 0.9460 0.8920 0.4979
U1 0.8037 0.6075 0.5199
Se3 0.3024 0.6047 0.3832
K1 0.1164 0.2327 0.3401
Se4 0.5148 0.0296 0.7935
U2 0.1962 0.3924 0.0205
K2 0.8833 0.7666 0.8392
K3 0.1310 0.2620 0.6949
Co1 0.5798 0.1596 0.9262
Se5 0.4854 0.9709 0.2921
Se6 0.6700 0.3400 0.5151
Co2 0.4202 0.8403 0.4250
Se7 0.6976 0.3952 0.8837
Se8 0.3299 0.6598 0.0147
Se9 0.0540 0.1079 0.9993
Se10 0.3145 0.6291 0.6541
K4 0.8693 0.7386 0.1940

D(E_F) = 0.701 states/eV per atom
magnetic moment = 4.422 Bohr magnetons per cell
raw total energy = -5.098 eV per atom
space group = No. 8
calculated volume = 30.65 A^3/atom

Record 9
## HoTlCuSe3 (PBE)

Data for HoTlCuSe3 after structural relaxation.

Cell: 4.8386 8.1702 8.5390 Å, 100.77 90.00 107.22°
Atoms (fractional coordinates):
Tl1 0.3490 0.6979 0.9483
Ho1 0.3560 0.7121 0.4468
Se1 0.1432 0.2864 0.7542
Cu1 0.0132 0.0265 0.3019
Se2 0.8286 0.6572 0.6601
Tl2 0.6510 0.3021 0.0517
Se3 0.4972 0.9944 0.7176
Se4 0.1714 0.3428 0.3399
Ho2 0.6440 0.2879 0.5532
Se5 0.5028 0.0056 0.2824
Cu2 0.9868 0.9735 0.6981
Se6 0.8568 0.7136 0.2458

D(E_F) = 0.093 states/eV per atom
magnetic moment = 0.000 Bohr magnetons per cell
raw total energy = -4.434 eV per atom
space group = No. 12
calculated volume = 26.35 A^3/atom

Record 10
## Pm8Si3PdI4 (PBE)

Data for Pm8Si3PdI4 after structural relaxation.

Cell: 8.6061 9.1007 8.6080 Å, 118.22 119.99 90.00°
Atoms (fractional coordinates):
I1 0.5000 0.0000 0.0000
Pm1 0.7316 0.6971 0.9644
Si1 0.5000 0.5000 0.0000
Pm2 0.7672 0.3029 0.0356
I2 0.0000 0.0000 0.0000
Pm3 0.2328 0.6971 0.9644
Pm4 0.2674 0.3020 0.5347
Pm5 0.7326 0.6980 0.4653
Si2 0.5000 0.5000 0.5000
Pm6 0.2684 0.3029 0.0356
Pm7 0.7670 0.3028 0.5341
Pm8 0.2330 0.6972 0.4659
I3 0.0000 0.0000 0.5000
Si3 0.0000 0.5000 0.5000
Pd1 0.0000 0.5000 0.0000
I4 0.5000 0.0000 0.5000

D(E_F) = 0.631 states/eV per atom
magnetic moment = 0.000 Bohr magnetons per cell
raw total energy = -5.001 eV per atom
space group = No. 166
calculated volume = 30.57 A^3/atom

Record 11
## CsRbNa2Au (PBE)

Data for CsRbNa2Au after structural relaxation.

Cell: 6.1053 6.1053 6.6849 Å, 90.00 90.00 90.00°
Atoms (fractional coordinates):
Na1 0.0000 0.5000 0.0000
Cs1 0.5000 0.5000 0.5000
Rb1 0.0000 0.0000 0.5000
Na2 0.5000 0.0000 0.0000
Au1 0.0000 0.0000 0.0000

D(E_F) = 0.317 states/eV per atom
magnetic moment = 0.000 Bohr magnetons per cell
raw total energy = -1.626 eV per atom
space group = No. 123
calculated volume = 49.83 A^3/atom
calculated formation energy = -1.8 kcal/mol of atoms
relative energy among the computed polymorphs = 0 meV/atom

Record 12
## Zn3IrO (PBE)

Data for Zn3IrO after structural relaxation.

Cell: 4.0794 4.0794 4.0794 Å, 90.00 90.00 90.00°
Atoms (fractional coordinates):
O1 0.0000 0.0000 0.0000
Zn1 0.5000 0.0000 0.0000
Ir1 0.5000 0.5000 0.5000
Zn2 0.0000 0.5000 0.0000
Zn3 0.0000 0.0000 0.5000

D(E_F) = 0.350 states/eV per atom
magnetic moment = 0.000 Bohr magnetons per cell
raw total energy = -3.698 eV per atom
space group = No. 221
calculated volume = 13.58 A^3/atom
relative energy among the computed polymorphs = 0 meV/atom

> raw total energy of number 12 (Zn3IrO)?

-3.698 eV per atom

> Number 10 is which compound?

Pm8Si3PdI4

> Which of these has the lowest raw total energy?

Dy2ZnGa2Rh5